[1]
First-principles (GGA-PBE) data for KZn2Si after structural relaxation, as listed in the Alexandria database.

```
KZn2Si
1.0
5.322 -0.047 -0.032
0.390 5.308 0.032
-2.058 -3.498 3.445
Zn K Si
2 1 1
direct
0.428 0.428 0.000
0.072 0.072 0.000
0.750 0.250 0.500
0.250 0.750 0.500
```

Summary:
**Total energy**: -1.950 eV per atom

***

[2]
First-principles (GGA-PBE) data for CsTmI4 after structural relaxation, as listed in the Alexandria database.

```
CsTmI4
1.0
-0.409 1.003 -7.774
10.438 -2.072 0.696
-6.303 -8.571 0.737
Cs I Tm
2 8 2
direct
0.750 0.253 0.247
0.250 0.747 0.753
0.367 0.795 0.409
0.867 0.909 0.295
0.700 0.993 0.851
0.200 0.351 0.493
0.633 0.205 0.591
0.133 0.091 0.705
0.800 0.649 0.507
0.300 0.007 0.149
0.750 0.935 0.565
0.250 0.065 0.435
```

Summary:
**Total energy**: -3.363 eV per atom
**Relative energy among the computed polymorphs**: 0 meV per atom

***

[3]
First-principles (GGA-PBE) data for NiPtSe2 after structural relaxation, as listed in the Alexandria database.

```
NiPtSe2
1.0
3.580 0.000 0.000
0.000 4.477 -0.001
0.000 1.119 4.336
Pt Se Ni
1 2 1
direct
0.500 0.750 0.750
0.000 0.008 0.008
0.000 0.492 0.492
0.500 0.250 0.250
```

Summary:
**Total energy**: -4.647 eV per atom

***

[4]
First-principles (GGA-PBE) data for LiMg2Re after structural relaxation, as listed in the Alexandria database.

```
LiMg2Re
1.0
0.667 -4.405 -1.164
0.568 -3.187 3.276
-3.302 -3.114 0.781
Mg Re Li
2 1 1
direct
0.250 0.250 0.250
0.750 0.750 0.750
0.500 0.500 0.500
0.000 0.000 0.000
```

Summary:
**Total energy**: -3.894 eV per atom
**Calculated formation energy**: 494 meV per atom
**Relative energy among the computed polymorphs**: 313 meV per atom

***

[5]
First-principles (GGA-PBE) data for Ba2NF after structural relaxation, as listed in the Alexandria database.

```
Ba2NF
1.0
6.146 0.000 0.000
0.000 6.146 0.000
3.073 3.073 6.133
F Ba N
2 4 2
direct
0.750 0.250 0.500
0.000 0.000 0.000
0.375 0.392 0.750
0.608 0.125 0.250
0.875 0.858 0.750
0.142 0.625 0.250
0.250 0.750 0.500
0.500 0.500 0.000
```

Summary:
**Total energy**: -5.146 eV per atom
**Relative energy among the computed polymorphs**: 77 meV per atom

***

[6]
First-principles (GGA-PBE) data for ErAlGa2Ni5 after structural relaxation, as listed in the Alexandria database.

```
ErAlGa2Ni5
1.0
-2.854 2.835 1.588
1.392 -0.843 4.007
4.867 5.229 -0.590
Ni Ga Al Er
5 2 1 1
direct
0.000 0.500 0.741
0.500 0.000 0.741
0.500 0.500 0.500
0.500 0.000 0.259
0.000 0.500 0.259
0.500 0.500 0.166
0.500 0.500 0.834
0.000 0.000 0.000
0.000 0.000 0.500
```

Summary:
**Total energy**: -4.923 eV per atom
**Calculated formation energy**: -116 meV per atom

***

[7]
First-principles (GGA-PBE) data for Tc2SbAs after structural relaxation, as listed in the Alexandria database.

```
Tc2SbAs
1.0
-7.187 3.608 6.775
-6.125 1.325 8.444
-4.734 4.006 8.492
As Tc Sb
1 2 1
direct
0.529 0.529 0.529
0.990 0.990 0.990
0.256 0.256 0.256
0.726 0.726 0.726
```

Summary:
**Total energy**: -7.204 eV per atom
**Relative energy among the computed polymorphs**: 166 meV per atom

***

[8]
First-principles (GGA-PBE) data for Er5CuPb4 after structural relaxation, as listed in the Alexandria database.

```
Er5CuPb4
1.0
6.220 0.000 0.000
3.110 6.827 0.000
3.110 0.000 6.827
Pb Cu Er
4 1 5
direct
0.565 0.614 0.200
0.765 0.800 0.614
0.379 0.386 0.800
0.178 0.200 0.386
0.106 0.000 0.000
0.266 0.805 0.617
0.612 0.000 0.000
0.687 0.195 0.383
0.071 0.617 0.195
0.883 0.383 0.805
```

Summary:
**Total energy**: -4.385 eV per atom
**Calculated formation energy**: -211 meV per atom